[1]
Material: Mg2Ag7Hg
Method: DFT, PBE
State: relaxed

space-group type: Cmmm

a = 8.3491 Å, b = 8.3491 Å, c = 4.2959 Å
α = 90.00°, β = 90.00°, γ = 126.92°
Closest atoms and distances in Å follow each position.
Positions (direct):
Mg (0.1971, 0.8029, 0.0000)  5 Ag 2.71-2.94
Mg (0.8029, 0.1971, 0.0000)  5 Ag 2.71-2.94
Ag (0.0000, 0.0000, 0.0000)  4 Ag 2.79, 2 Mg 2.94
Ag (0.2078, 0.4142, 0.0000)  1 Mg 2.71, 4 Ag 2.79-2.88, 2 Hg 3.00
Ag (0.3090, 0.6910, 0.5000)  2 Mg 2.72, 1 Hg 2.85, 4 Ag 2.88
Ag (0.4142, 0.2078, 0.0000)  1 Mg 2.71, 4 Ag 2.79-2.88, 2 Hg 3.00
Ag (0.5858, 0.7922, 0.0000)  1 Mg 2.71, 4 Ag 2.79-2.88, 2 Hg 3.00
Ag (0.6910, 0.3090, 0.5000)  2 Mg 2.72, 1 Hg 2.85, 4 Ag 2.88
Ag (0.7922, 0.5858, 0.0000)  1 Mg 2.71, 4 Ag 2.79-2.88, 2 Hg 3.00
Hg (0.5000, 0.5000, 0.5000)  10 Ag 2.85-3.00


[2]
Material: BeCuRu2
Method: DFT, PBE
State: relaxed

space-group type: I-42d

a = 3.5655 Å, b = 3.5655 Å, c = 17.2781 Å
α = 90.00°, β = 90.00°, γ = 90.00°
Closest atoms and distances in Å follow each position.
Positions (direct):
Be (0.0000, 0.0000, 0.0000)  4 Ru 2.47, 4 Cu 2.52
Be (0.0000, 0.5000, 0.2500)  4 Ru 2.47, 4 Cu 2.52
Be (0.5000, 0.0000, 0.7500)  4 Ru 2.47, 4 Cu 2.52
Be (0.5000, 0.5000, 0.5000)  4 Ru 2.47, 4 Cu 2.52
Cu (0.0000, 0.0000, 0.5000)  4 Be 2.52, 4 Ru 2.54
Cu (0.0000, 0.5000, 0.7500)  4 Be 2.52, 4 Ru 2.54
Cu (0.5000, 0.0000, 0.2500)  4 Be 2.52, 4 Ru 2.54
Cu (0.5000, 0.5000, 0.0000)  4 Be 2.52, 4 Ru 2.54
Ru (0.2236, 0.2500, 0.1250)  4 Ru 2.39-2.66, 2 Be 2.47, 2 Cu 2.54
Ru (0.2500, 0.7236, 0.3750)  4 Ru 2.39-2.66, 2 Be 2.47, 2 Cu 2.54
Ru (0.2500, 0.7764, 0.8750)  4 Ru 2.39-2.66, 2 Be 2.47, 2 Cu 2.54
Ru (0.2764, 0.2500, 0.6250)  4 Ru 2.39-2.66, 2 Be 2.47, 2 Cu 2.54
Ru (0.7236, 0.7500, 0.6250)  4 Ru 2.39-2.66, 2 Be 2.47, 2 Cu 2.54
Ru (0.7500, 0.2236, 0.8750)  4 Ru 2.39-2.66, 2 Be 2.47, 2 Cu 2.54
Ru (0.7500, 0.2764, 0.3750)  4 Ru 2.39-2.66, 2 Be 2.47, 2 Cu 2.54
Ru (0.7764, 0.7500, 0.1250)  4 Ru 2.39-2.66, 2 Be 2.47, 2 Cu 2.54


[3]
Material: YCrCo2
Method: DFT, PBE
State: relaxed

space-group type: R-3m
energy above the most stable polymorph in this dataset: 0.00 kcal/mol of atoms

a = 3.9325 Å, b = 3.9325 Å, c = 14.6765 Å
α = 90.00°, β = 90.00°, γ = 120.00°
Closest atoms and distances in Å follow each position.
Positions (direct):
Y (0.0000, 0.0000, 0.0000)  8 Co 2.91-3.01
Y (0.3333, 0.6667, 0.6667)  8 Co 2.91-3.01
Y (0.6667, 0.3333, 0.3333)  8 Co 2.91-3.01
Cr (0.0000, 0.0000, 0.5000)  6 Co 2.32
Cr (0.3333, 0.6667, 0.1667)  6 Co 2.32
Cr (0.6667, 0.3333, 0.8333)  6 Co 2.32
Co (0.0000, 0.0000, 0.1986)  3 Cr 2.32, 3 Co 2.46
Co (0.0000, 0.0000, 0.8014)  3 Cr 2.32, 3 Co 2.46
Co (0.3333, 0.6667, 0.4681)  3 Cr 2.32, 3 Co 2.46
Co (0.3333, 0.6667, 0.8652)  3 Cr 2.32, 3 Co 2.46
Co (0.6667, 0.3333, 0.1348)  3 Cr 2.32, 3 Co 2.46
Co (0.6667, 0.3333, 0.5319)  3 Cr 2.32, 3 Co 2.46


no.,formation energy from the elements (eV/atom)
1,0.222
2,0.588
3,0.023